Here is a relaxed structure of Cr5NiRh6 from Alexandria. Energies are from PBE.

Properties
Spin magnetization   4.00 Bohr magnetons per cell
D(E_F)   13.86 states/eV per cell
E_form   -68 meV per atom
Crystal system   orthorhombic
Calculated volume   159 Å³/cell

```
12
Lattice="-1.0121 -3.5995 0.7214 2.6408 -0.0399 -6.5450 5.1860 1.4694 4.5562" Properties=species:S:1:pos:R:3 pbc="T T T"
Ni 0.0000 0.0000 0.0000
Rh 2.1215 -0.2883 1.5379
Rh 1.1691 -2.3331 0.0492
Cr 3.4074 -1.0850 -0.6337
Rh 1.2716 -0.7923 -2.1689
Rh 4.6933 -1.8817 -2.8053
Cr 3.5066 0.4735 -2.7686
Cr 4.3202 0.9560 0.7797
Rh 5.5432 -1.3778 0.9015
Cr 4.2559 -0.5819 3.0672
Cr 2.5589 -1.5882 -4.3346
Rh 5.6457 0.1631 -1.3166
```

=====

Here is a relaxed structure of CrNiRh4 from Alexandria. Energies are from PBE.

Properties
Spin magnetization   0.27 Bohr magnetons per cell
D(E_F)   9.29 states/eV per cell
Energy relative to the lowest polymorph listed for this composition   0.00 eV per formula unit
E_form   3 meV per atom
Crystal system   orthorhombic
Calculated volume   80 Å³/cell

```
6
Lattice="2.6830 0.0000 0.0000 0.0000 3.7151 -0.0003 0.0000 0.0006 8.0443" Properties=species:S:1:pos:R:3 pbc="T T T"
Rh 0.0000 1.8579 5.3148
Cr 1.3415 0.0003 4.0221
Rh 0.0000 1.8578 2.7292
Rh 1.3415 3.7156 6.7242
Rh 1.3415 0.0002 1.3198
Ni 0.0000 1.8576 -0.0001
```

=====

Here is a relaxed structure of Cr9Ni4Rh11 from Alexandria. Energies are from PBE.

Properties
Spin magnetization   3.01 Bohr magnetons per cell
D(E_F)   29.06 states/eV per cell
E_form   88 meV per atom
Crystal system   orthorhombic
Calculated volume   316 Å³/cell

```
24
Lattice="-3.3558 1.2956 -0.7788 0.7970 -3.3350 -8.9817 -3.8858 -6.5132 5.9082" Properties=species:S:1:pos:R:3 pbc="T T T"
Rh -3.1212 -7.9762 0.1802
Cr -4.0199 -3.8830 2.1648
Cr -4.7731 -8.2689 -1.8859
Rh -0.0058 -3.8798 -6.4291
Rh -1.5470 -6.9077 -4.8253
Rh -1.5418 -2.9404 1.7518
Ni -4.1334 -6.0542 -0.9584
Cr -3.2223 -4.2763 -1.9262
Cr -2.4247 -4.6696 -6.0171
Rh -0.7630 -2.4328 -0.7592
Ni -3.2354 -5.4448 -3.8135
Cr -4.7648 -6.2578 1.4236
Ni -2.3113 -2.4984 -2.8940
Rh -2.3258 -7.4154 -2.3143
Cr -1.6715 -0.2837 -1.9665
Rh -2.2876 -5.4285 0.8262
Cr -2.4301 -0.7985 0.4456
Cr -1.6799 -2.2948 -5.2760
Rh 0.0324 -1.8720 -3.2537
Ni -3.2092 -3.1078 -0.0388
Cr -4.0146 -7.7541 -4.2979
Rh 0.0000 0.0000 0.0000
Rh -0.8013 -4.4197 -3.8997
Rh -3.0830 -5.9684 3.3556
```